A plane-wave DFT calculation with GGA+U was carried out for an optimized crystal structure of Al2VGaO6.

```
10
Lattice="-4.495 -1.061 -1.833 -2.409 -4.071 1.528 -4.196 0.644 3.185" Properties=species:S:1:pos:R:3 pbc="T T T"
O -4.430 -1.452 -0.014
V -2.427 -1.554 0.117
O -6.560 -3.352 0.118
Al -4.110 0.537 3.035
O -4.638 -1.272 2.757
O -6.721 -0.798 1.215
Ga -7.994 -3.778 1.585
O -4.224 -3.712 1.724
O -6.686 -2.931 2.764
Al -5.440 -2.381 1.248
```

The density of states at the Fermi level is 0.00 states/eV/f.u. The calculation puts the total energy at -7.2231 eV/atom. Its crystal system is trigonal. The value obtained for the size of the total moment is 2.0 μB/f.u. The space group is R3. The volume comes out at 96 Å³/cell.